# NbNiOs2, optimized geometry, DFT PBE
data_NbNiOs2
_chemical_formula_sum 'Nb4 Ni4 Os8'
_space_group_name_H-M_alt 'F -4 3 m'
_space_group_IT_number 216
_space_group_name_Hall 'F -4 2 3'
_cell_length_a 6.174
_cell_length_b 6.174
_cell_length_c 6.174
_cell_angle_alpha 90.00
_cell_angle_beta 90.00
_cell_angle_gamma 90.00
loop_
_atom_site_label
_atom_site_type_symbol
_atom_site_fract_x
_atom_site_fract_y
_atom_site_fract_z
Nb1 Nb 0.000 0.000 0.000
Ni1 Ni 0.250 0.250 0.750
Os1 Os 0.000 0.000 0.500
Os2 Os 0.250 0.250 0.250
# - energy of formation from the pure elements (eV/atom) = 0.2010


# NbNiOs, optimized geometry, DFT PBE
data_NbNiOs
_chemical_formula_sum 'Nb4 Ni4 Os4'
_space_group_name_H-M_alt 'F -4 3 m'
_space_group_IT_number 216
_space_group_name_Hall 'F -4 2 3'
_cell_length_a 5.771
_cell_length_b 5.771
_cell_length_c 5.771
_cell_angle_alpha 90.00
_cell_angle_beta 90.00
_cell_angle_gamma 90.00
loop_
_atom_site_label
_atom_site_type_symbol
_atom_site_fract_x
_atom_site_fract_y
_atom_site_fract_z
Nb1 Nb 0.000 0.000 0.000
Ni1 Ni 0.250 0.250 0.250
Os1 Os 0.000 0.000 0.500
# - energy of formation from the pure elements (eV/atom) = 0.3979
# - energy above the most stable polymorph in this dataset (meV/atom) = 0


# NbNiOs, optimized geometry, DFT PBE
data_NbNiOs
_chemical_formula_sum 'Nb4 Ni4 Os4'
_space_group_name_H-M_alt 'F -4 3 m'
_space_group_IT_number 216
_space_group_name_Hall 'F -4 2 3'
_cell_length_a 5.924
_cell_length_b 5.924
_cell_length_c 5.924
_cell_angle_alpha 90.00
_cell_angle_beta 90.00
_cell_angle_gamma 90.00
loop_
_atom_site_label
_atom_site_type_symbol
_atom_site_fract_x
_atom_site_fract_y
_atom_site_fract_z
Nb1 Nb 0.000 0.000 0.000
Ni1 Ni 0.250 0.250 0.750
Os1 Os 0.250 0.250 0.250
# - energy of formation from the pure elements (eV/atom) = 0.5357
# - energy above the most stable polymorph in this dataset (meV/atom) = 138


# NbNiSbOs, optimized geometry, DFT PBE
data_NbNiSbOs
_chemical_formula_sum 'Nb4 Ni4 Sb4 Os4'
_space_group_name_H-M_alt 'F -4 3 m'
_space_group_IT_number 216
_space_group_name_Hall 'F -4 2 3'
_cell_length_a 6.361
_cell_length_b 6.361
_cell_length_c 6.361
_cell_angle_alpha 90.00
_cell_angle_beta 90.00
_cell_angle_gamma 90.00
loop_
_atom_site_label
_atom_site_type_symbol
_atom_site_fract_x
_atom_site_fract_y
_atom_site_fract_z
Nb1 Nb 0.000 0.000 0.000
Ni1 Ni 0.000 0.000 0.500
Sb1 Sb 0.250 0.250 0.250
Os1 Os 0.250 0.250 0.750
# - electronic total energy (eV/atom) = -7.5135


# NbSiNiOs, optimized geometry, DFT PBE
data_NbSiNiOs
_chemical_formula_sum 'Nb4 Si4 Ni4 Os4'
_space_group_name_H-M_alt 'F -4 3 m'
_space_group_IT_number 216
_space_group_name_Hall 'F -4 2 3'
_cell_length_a 6.089
_cell_length_b 6.089
_cell_length_c 6.089
_cell_angle_alpha 90.00
_cell_angle_beta 90.00
_cell_angle_gamma 90.00
loop_
_atom_site_label
_atom_site_type_symbol
_atom_site_fract_x
_atom_site_fract_y
_atom_site_fract_z
Nb1 Nb 0.000 0.000 0.000
Si1 Si 0.250 0.250 0.250
Ni1 Ni 0.000 0.000 0.500
Os1 Os 0.250 0.250 0.750
# - electronic total energy (eV/atom) = -8.0888


# Nb2NiSn2Os, optimized geometry, DFT PBE
data_Nb2NiSn2Os
_chemical_formula_sum 'Nb8 Ni4 Sn8 Os4'
_space_group_name_H-M_alt 'I -4 2 d'
_space_group_IT_number 122
_space_group_name_Hall 'I -4 2bw'
_cell_length_a 6.148
_cell_length_b 6.148
_cell_length_c 12.237
_cell_angle_alpha 90.00
_cell_angle_beta 90.00
_cell_angle_gamma 90.00
loop_
_atom_site_label
_atom_site_type_symbol
_atom_site_fract_x
_atom_site_fract_y
_atom_site_fract_z
Nb1 Nb 0.247 0.750 0.125
Ni1 Ni 0.000 0.000 0.500
Sn1 Sn 0.235 0.250 0.625
Os1 Os 0.000 0.000 0.000
# - electronic total energy (eV/atom) = -7.7265


# NbTlNiOs, optimized geometry, DFT PBE
data_NbTlNiOs
_chemical_formula_sum 'Nb4 Tl4 Ni4 Os4'
_space_group_name_H-M_alt 'F -4 3 m'
_space_group_IT_number 216
_space_group_name_Hall 'F -4 2 3'
_cell_length_a 6.412
_cell_length_b 6.412
_cell_length_c 6.412
_cell_angle_alpha 90.00
_cell_angle_beta 90.00
_cell_angle_gamma 90.00
loop_
_atom_site_label
_atom_site_type_symbol
_atom_site_fract_x
_atom_site_fract_y
_atom_site_fract_z
Nb1 Nb 0.000 0.000 0.000
Tl1 Tl 0.250 0.250 0.250
Ni1 Ni 0.000 0.000 0.500
Os1 Os 0.250 0.250 0.750
# - electronic total energy (eV/atom) = -6.7993


# NbZnNiOs, optimized geometry, DFT PBE
data_NbZnNiOs
_chemical_formula_sum 'Nb4 Zn4 Ni4 Os4'
_space_group_name_H-M_alt 'F -4 3 m'
_space_group_IT_number 216
_space_group_name_Hall 'F -4 2 3'
_cell_length_a 6.154
_cell_length_b 6.154
_cell_length_c 6.154
_cell_angle_alpha 90.00
_cell_angle_beta 90.00
_cell_angle_gamma 90.00
loop_
_atom_site_label
_atom_site_type_symbol
_atom_site_fract_x
_atom_site_fract_y
_atom_site_fract_z
Nb1 Nb 0.000 0.000 0.000
Zn1 Zn 0.250 0.250 0.250
Ni1 Ni 0.000 0.000 0.500
Os1 Os 0.250 0.250 0.750
# - energy of formation from the pure elements (eV/atom) = 0.1203


# NbNiP, optimized geometry, DFT PBE
data_NbNiP
_chemical_formula_sum 'Nb3 Ni3 P3'
_space_group_name_H-M_alt 'P -6 2 m'
_space_group_IT_number 189
_space_group_name_Hall 'P -6 -2'
_cell_length_a 6.0412
_cell_length_b 6.0412
_cell_length_c 3.7379
_cell_angle_alpha 90.00
_cell_angle_beta 90.00
_cell_angle_gamma 120.00
loop_
_atom_site_label
_atom_site_type_symbol
_atom_site_fract_x
_atom_site_fract_y
_atom_site_fract_z
Nb1 Nb 0.0000 0.5916 0.0000
Ni1 Ni 0.0000 0.2539 0.5000
P1 P 0.0000 0.0000 0.0000
P2 P 0.3333 0.6667 0.5000
# - electronic total energy (eV/atom) = -7.8183


# NbNiP, optimized geometry, DFT PBE
data_NbNiP
_chemical_formula_sum 'Nb3 Ni3 P3'
_space_group_name_H-M_alt 'P -6 2 m'
_space_group_IT_number 189
_space_group_name_Hall 'P -6 -2'
_cell_length_a 6.3562
_cell_length_b 6.3562
_cell_length_c 3.5307
_cell_angle_alpha 90.00
_cell_angle_beta 90.00
_cell_angle_gamma 120.00
loop_
_atom_site_label
_atom_site_type_symbol
_atom_site_fract_x
_atom_site_fract_y
_atom_site_fract_z
Nb1 Nb 0.0000 0.6267 0.0000
Ni1 Ni 0.0000 0.0000 0.0000
Ni2 Ni 0.3333 0.6667 0.5000
P1 P 0.0000 0.3004 0.5000
# - electronic total energy (eV/atom) = -7.4997


# NbNi4P2, optimized geometry, DFT PBE
data_NbNi4P2
_chemical_formula_sum 'Nb2 Ni8 P4'
_space_group_name_H-M_alt 'P 42/m n m'
_space_group_IT_number 136
_space_group_name_Hall '-P 4n 2n'
_cell_length_a 6.842
_cell_length_b 6.842
_cell_length_c 3.531
_cell_angle_alpha 90.00
_cell_angle_beta 90.00
_cell_angle_gamma 90.00
loop_
_atom_site_label
_atom_site_type_symbol
_atom_site_fract_x
_atom_site_fract_y
_atom_site_fract_z
Nb1 Nb 0.000 0.000 0.000
Ni1 Ni 0.083 0.331 0.500
P1 P 0.220 0.780 0.500
# - electronic total energy (eV/atom) = -6.7983


# Nb4NiP, optimized geometry, DFT PBE
data_Nb4NiP
_chemical_formula_sum 'Nb8 Ni2 P2'
_space_group_name_H-M_alt 'P 4/m c c'
_space_group_IT_number 124
_space_group_name_Hall '-P 4 2c'
_cell_length_a 6.157
_cell_length_b 6.157
_cell_length_c 4.986
_cell_angle_alpha 90.00
_cell_angle_beta 90.00
_cell_angle_gamma 90.00
loop_
_atom_site_label
_atom_site_type_symbol
_atom_site_fract_x
_atom_site_fract_y
_atom_site_fract_z
Nb1 Nb 0.161 0.338 0.000
Ni1 Ni 0.500 0.500 0.250
P1 P 0.000 0.000 0.250
# - electronic total energy (eV/atom) = -9.0023


# PaNbNi, optimized geometry, DFT PBE
data_PaNbNi
_chemical_formula_sum 'Pa4 Nb4 Ni4'
_space_group_name_H-M_alt 'F -4 3 m'
_space_group_IT_number 216
_space_group_name_Hall 'F -4 2 3'
_cell_length_a 6.267
_cell_length_b 6.267
_cell_length_c 6.267
_cell_angle_alpha 90.00
_cell_angle_beta 90.00
_cell_angle_gamma 90.00
loop_
_atom_site_label
_atom_site_type_symbol
_atom_site_fract_x
_atom_site_fract_y
_atom_site_fract_z
Pa1 Pa 0.000 0.000 0.000
Nb1 Nb 0.250 0.250 0.750
Ni1 Ni 0.250 0.250 0.250
# - energy of formation from the pure elements (eV/atom) = 0.7288
# - energy above the most stable polymorph in this dataset (meV/atom) = 415


# PaNbNi, optimized geometry, DFT PBE
data_PaNbNi
_chemical_formula_sum 'Pa4 Nb4 Ni4'
_space_group_name_H-M_alt 'F -4 3 m'
_space_group_IT_number 216
_space_group_name_Hall 'F -4 2 3'
_cell_length_a 6.239
_cell_length_b 6.239
_cell_length_c 6.239
_cell_angle_alpha 90.00
_cell_angle_beta 90.00
_cell_angle_gamma 90.00
loop_
_atom_site_label
_atom_site_type_symbol
_atom_site_fract_x
_atom_site_fract_y
_atom_site_fract_z
Pa1 Pa 0.000 0.000 0.000
Nb1 Nb 0.000 0.000 0.500
Ni1 Ni 0.250 0.250 0.250
# - energy of formation from the pure elements (eV/atom) = 0.3135
# - energy above the most stable polymorph in this dataset (meV/atom) = 0